No. 1
K3Cr3RuO8: relaxed, GGA+U.

Summary:
- symmetry = R-3m (166)

abc: 6.170 6.171 7.084
angles: 115.83 90.00 119.99
Fractional positions:
K1 0.000 0.000 0.000
K2 0.000 0.500 0.000
K3 0.500 0.500 0.000
Cr1 0.500 0.000 0.500
Cr2 0.500 0.500 0.500
Cr3 0.000 0.500 0.500
Ru1 0.000 0.000 0.500
O1 0.277 0.555 0.332
O2 0.723 0.445 0.668
O3 0.778 0.556 0.332
O4 0.222 0.444 0.668
O5 0.778 0.054 0.332
O6 0.222 0.946 0.668
O7 0.276 0.054 0.332
O8 0.724 0.946 0.668


No. 2
V2CdTcO8: relaxed, GGA+U.

Summary:
- symmetry = I-4m2 (119)

abc: 5.785 5.785 5.785
angles: 106.86 106.86 114.83
Fractional positions:
V1 0.750 0.250 0.500
V2 0.500 0.500 0.000
Cd1 0.000 0.000 0.000
Tc1 0.250 0.750 0.500
O1 0.371 0.050 0.321
O2 0.337 0.545 0.208
O3 0.337 0.129 0.792
O4 0.728 0.050 0.679
O5 0.871 0.663 0.208
O6 0.950 0.272 0.321
O7 0.950 0.629 0.679
O8 0.455 0.663 0.792


| no. | VASP energy (eV for the cell shown) |
| --- | --- |
| 1 | -99.50 |
| 2 | -82.20 |